1.
SnPb5Se7 after structural relaxation, computed with GGA-PBE.

Output
space-group type	Cmcm, No. 63
formation energy without anion corrections	-425	meV per atom
magnetization	0.00	Bohr magnetons per cell

a b c (Å): 4.1991 7.4892 25.4942
angles (deg): 89.99 90.00 106.28
Element x y z (fractional)
Se: 0.0879 0.1758 0.8906
Sn: 0.2198 0.4395 0.7500
Se: 0.4185 0.8370 0.2500
Sn: 0.7809 0.5618 0.2500
Pb: 0.7285 0.4571 0.9233
Se: 0.0878 0.1756 0.6094
Pb: 0.4635 0.9271 0.8465
Pb: 0.7282 0.4564 0.5767
Pb: 0.4631 0.9262 0.6533
Se: 0.9126 0.8252 0.1095
Se: 0.5821 0.1643 0.7499
Se: 0.1895 0.3790 0.3179
Pb: 0.2721 0.5443 0.0767
Se: 0.8113 0.6226 0.8179
Se: 0.9127 0.8254 0.3906
Se: 0.1894 0.3787 0.1821
Pb: 0.5374 0.0749 0.3467
Pb: 0.2722 0.5445 0.4233
Pb: 0.5372 0.0744 0.1534
Pb: 0.0002 0.0004 0.5000
Se: 0.3642 0.7285 0.9610
Pb: 0.0003 0.0005 0.0001
Se: 0.6363 0.2727 0.4610
Se: 0.8110 0.6221 0.6820
Se: 0.6364 0.2728 0.0390
Se: 0.3642 0.7283 0.5391

***

2.
Cd4InBi after structural relaxation, computed with GGA-PBE.

Output
formation energy from the elements	10	kJ/mol of atoms
space-group type	F-43m, No. 216
E above lowest polymorph	54.5	meV per atom
magnetization	0.00	Bohr magnetons per cell

a b c (Å): 6.0330 6.0330 6.0330
angles (deg): 60.00 60.00 60.00
Element x y z (fractional)
Bi: 0.0000 0.0000 0.0000
Cd: 0.6249 0.6249 0.6249
Cd: 0.6249 0.1252 0.6249
Cd: 0.6249 0.6249 0.1252
Cd: 0.1252 0.6249 0.6249
In: 0.2500 0.2500 0.2500